DFT (PBE) results for TaCo2Ir after structural relaxation.

Structure (POSCAR):
```
TaCo2Ir
1.0
8.722 0.003 0.002
8.289 2.712 0.002
8.289 1.323 2.368
Co Ir Ta
2 1 1
Direct
0.007 0.007 0.007 Co
0.746 0.746 0.746 Co
0.496 0.496 0.496 Ir
0.252 0.252 0.252 Ta
```

Computed properties:
For the total magnetization, the calculation gives 3.068 μB per formula unit. The calculation puts the energy above the most stable polymorph in this dataset at 485 meV per atom.



DFT (PBE) results for TmTaCoIr after structural relaxation.

Structure (POSCAR):
```
TmTaCoIr
1.0
4.581 0.000 0.000
2.291 3.968 0.000
2.291 1.323 3.741
Ta Tm Ir Co
1 1 1 1
Direct
0.000 0.000 0.000 Ta
0.500 0.500 0.500 Tm
0.250 0.250 0.250 Ir
0.750 0.750 0.750 Co
```

Computed properties:
As for the calculated total energy: -8.41 eV per atom. For the total magnetization, the calculation gives 1.288 μB per formula unit.



DFT (PBE) results for Y2TaCoIr after structural relaxation.

Structure (POSCAR):
```
Y2TaCoIr
1.0
-0.678 0.808 -5.260
4.412 -1.696 -0.830
-1.999 -4.953 -0.503
Co Ta Ir Y
1 1 1 2
Direct
0.500 0.500 0.500 Co
0.000 0.500 0.000 Ta
0.000 0.000 0.000 Ir
0.000 0.000 0.500 Y
0.500 0.000 0.000 Y
```

Computed properties:
As for the calculated total energy: -7.53 eV per atom. For the total magnetization, the calculation gives 1.528 μB per formula unit.



DFT (PBE) results for ZrTaCoIr2 after structural relaxation.

Structure (POSCAR):
```
ZrTaCoIr2
1.0
4.547 0.000 0.000
0.000 4.417 0.000
0.000 0.000 4.547
Ir Ta Zr Co
2 1 1 1
Direct
0.500 0.000 0.000 Ir
0.000 0.000 0.500 Ir
0.000 0.500 0.000 Ta
0.500 0.500 0.500 Zr
0.000 0.000 0.000 Co
```

Computed properties:
As for the calculated total energy: -8.47 eV per atom. For the total magnetization, the calculation gives 1.691 μB per formula unit.